Entry 1:
AlIn2Au | GGA-PBE | relaxed

Values from the calculation:
- formation energy from the elements (eV/atom) = 0.03
- VASP energy (eV/atom) = -3.093
- N(E_F) (states/eV/atom) = 0.3646

```
4
Lattice="2.9580 -4.2170 0.0000 2.9580 4.2170 0.0000 -0.2921 0.0000 3.4691" Properties=species:S:1:pos:R:3 pbc="T T T"
Al 0.0000 0.0000 0.0000
In 1.3330 2.1085 1.7346
In 1.3330 -2.1085 1.7346
Au 2.9580 0.0000 0.0000
```



Entry 2:
AlIn2Au2 | GGA-PBE | relaxed

Values from the calculation:
- formation energy from the elements (eV/atom) = -0.11
- VASP energy (eV/atom) = -3.264
- N(E_F) (states/eV/atom) = 0.3898

```
10
Lattice="7.0097 0.0000 0.0000 0.0000 7.0097 0.0000 0.0000 0.0000 4.3879" Properties=species:S:1:pos:R:3 pbc="T T T"
Al 0.0000 0.0000 0.0000
Al 3.5048 3.5048 0.0000
In 1.1319 2.3729 2.1939
In 2.3729 5.8777 2.1939
In 4.6368 1.1319 2.1939
In 5.8777 4.6368 2.1939
Au 1.0674 4.5723 0.0000
Au 2.4374 1.0674 0.0000
Au 4.5723 5.9422 0.0000
Au 5.9422 2.4374 0.0000
```